--- 1 ---
{
  "formula": "KZr2Ni",
  "functional": "meta-GGA SCAN",
  "state": "PBEsol geometry",
  "m_tot_mub_per_cell": 0.001,
  "sg": "Pmmm",
  "volume_a3_per_atom": 20.75,
  "lattice": [[3.145, 0.000, 0.000], [0.000, 5.125, 0.000], [0.000, 0.000, 5.151]],
  "species": ["K", "Ni", "Zr", "Zr"],
  "fractional_positions": [[0.500, 0.000, 0.500], [0.000, 0.500, 0.500], [0.000, 0.000, 0.000], [0.500, 0.500, 0.000]]
}

--- 2 ---
{
  "formula": "KZr2Ni",
  "functional": "meta-GGA SCAN",
  "state": "PBEsol geometry",
  "m_tot_mub_per_cell": 0.737,
  "sg": "P4/mmm",
  "volume_a3_per_atom": 23.53,
  "lattice": [[3.010, 0.000, 0.000], [0.000, 3.010, 0.000], [0.000, 0.000, 10.389]],
  "species": ["K", "Ni", "Zr", "Zr"],
  "fractional_positions": [[0.500, 0.500, 0.000], [0.500, 0.500, 0.500], [0.000, 0.000, 0.663], [0.000, 0.000, 0.337]]
}

Q: What are the energies relative to the best structure? A: 1 62.8; 2 0.0, in kJ/mol of atoms.